# 1
Ba3AlCl: relaxed, PBE.

It has space group Pm-3m (No. 221), with a = 6.0072 Å, b = 6.0072 Å, c = 6.0072 Å, α = 90.00°, β = 90.00° and γ = 90.00°. Symmetry generates all atoms from Ba at (0.0000, 0.0000, 0.5000), Al at (0.5000, 0.5000, 0.5000) and Cl at (0.0000, 0.0000, 0.0000).

The crystal system is cubic. The total DFT energy (no corrections) comes out at -2.820 eV per atom.

---

# 2
ScCuAg2: relaxed, PBE.

It has space group P4/mmm (No. 123), with a = 4.0348 Å, b = 4.0348 Å, c = 4.3788 Å, α = 90.00°, β = 90.00° and γ = 90.00°. Symmetry generates all atoms from Sc at (0.0000, 0.0000, 0.0000), Cu at (0.5000, 0.5000, 0.0000) and Ag at (0.0000, 0.5000, 0.5000).

The crystal system is tetragonal. The formation energy comes out at -0.026 eV/atom.

---

# 3
La4PmTe5: relaxed, PBE.

It has space group I4/mmm (No. 139), with a = 4.5583 Å, b = 4.5583 Å, c = 32.2622 Å, α = 90.00°, β = 90.00° and γ = 90.00°. Symmetry generates all atoms from La at (0.0000, 0.0000, 0.0993), La at (0.0000, 0.0000, 0.3001), Pm at (0.0000, 0.0000, 0.5000), Te at (0.0000, 0.0000, 0.0000), Te at (0.0000, 0.0000, 0.1997) and Te at (0.0000, 0.0000, 0.4013).

The crystal system is tetragonal. The total DFT energy (no corrections) comes out at -5.571 eV per atom.

---

# 4
LaHfTe2: relaxed, PBE.

It has space group R-3m (No. 166, hexagonal axes), with a = 3.9261 Å, b = 3.9261 Å, c = 30.0591 Å, α = 90.00°, β = 90.00° and γ = 120.00°. Symmetry generates all atoms from La at (0.0000, 0.0000, 0.0000), Hf at (0.0000, 0.0000, 0.5000) and Te at (0.0000, 0.0000, 0.1068).

The crystal system is trigonal. The total DFT energy (no corrections) comes out at -5.893 eV per atom.